[1]
# LaScBe2H, relaxed, DFT PBE-GGA
data_LaScBe2H
_chemical_formula_sum 'La1 Sc1 Be2 H1'
_cell_length_a 4.6721
_cell_length_b 4.6721
_cell_length_c 5.8878
_cell_angle_alpha 90.00
_cell_angle_beta 90.00
_cell_angle_gamma 90.00
_symmetry_space_group_name_H-M 'P 4/m m m'
_symmetry_Int_Tables_number 123
_symmetry_space_group_name_Hall '-P 4 2'
loop_
_atom_site_label
_atom_site_fract_x
_atom_site_fract_y
_atom_site_fract_z
La1 0.0000 0.0000 0.0000
Sc1 0.0000 0.0000 0.5000
Be1 0.0000 0.5000 0.5000
H1 0.5000 0.5000 0.0000
# - magnetization (μB per formula unit) = 0.7
# - final energy (eV for the cell shown) = -14.4



[2]
# NaGa2Pt2, relaxed, DFT PBE-GGA
data_NaGa2Pt2
_chemical_formula_sum 'Na2 Ga4 Pt4'
_cell_length_a 7.7145
_cell_length_b 7.7145
_cell_length_c 2.7960
_cell_angle_alpha 90.00
_cell_angle_beta 90.00
_cell_angle_gamma 90.00
_symmetry_space_group_name_H-M 'P 4/m b m'
_symmetry_Int_Tables_number 127
_symmetry_space_group_name_Hall '-P 4 2ab'
loop_
_atom_site_label
_atom_site_fract_x
_atom_site_fract_y
_atom_site_fract_z
Na1 0.0000 0.0000 0.0000
Ga1 0.1322 0.3678 0.0000
Pt1 0.1655 0.6655 0.5000
# - magnetization (μB per formula unit) = 0.0
# - offset from the most stable computed form (meV per atom) = 0
# - calculated formation energy (eV per formula unit) = -3.1
# - final energy (eV for the cell shown) = -45.0



[3]
# LaGdGaAg, relaxed, DFT PBE-GGA
data_LaGdGaAg
_chemical_formula_sum 'La4 Gd4 Ga4 Ag4'
_cell_length_a 7.4618
_cell_length_b 7.4618
_cell_length_c 7.4618
_cell_angle_alpha 90.00
_cell_angle_beta 90.00
_cell_angle_gamma 90.00
_symmetry_space_group_name_H-M 'F -4 3 m'
_symmetry_Int_Tables_number 216
_symmetry_space_group_name_Hall 'F -4 2 3'
loop_
_atom_site_label
_atom_site_fract_x
_atom_site_fract_y
_atom_site_fract_z
La1 0.0000 0.0000 0.0000
Gd1 0.0000 0.0000 0.5000
Ga1 0.2500 0.2500 0.7500
Ag1 0.2500 0.2500 0.2500
# - magnetization (μB per formula unit) = 7.6
# - calculated formation energy (eV per formula unit) = -1.7
# - final energy (eV for the cell shown) = -106.4